{
  "formula": "La2Pm4DyTh",
  "functional": "PBE",
  "state": "optimized geometry",
  "dft_energy_ev_per_atom": -4.984,
  "ef_ev_per_atom": 0.1261,
  "space_group": "P2/m (10)",
  "m_tot_mub_per_cell": 0.00,
  "lattice_angstrom": [[-0.476, 5.984, -1.080], [-6.070, -0.467, 0.086], [-6.056, 0.845, 7.351]],
  "species": ["Pm", "Pm", "Pm", "Pm", "Dy", "La", "La", "Th"],
  "frac_coords": [[0.000, 0.255, 0.246], [0.500, 0.245, 0.755], [0.000, 0.745, 0.754], [0.500, 0.755, 0.245], [0.000, 0.500, 0.500], [0.500, 0.000, 0.500], [0.000, 0.000, 0.000], [0.500, 0.500, 0.000]]
}